## K3UBi2Se6 (PBE)

Data for a relaxed K3UBi2Se6 crystal.

```
12
Lattice="3.769 -6.528 0.000 3.769 6.528 0.000 -2.506 0.000 7.656" Properties=species:S:1:pos:R:3 pbc="T T T"
K 0.000 0.000 0.000
K 3.769 2.226 0.000
K 3.769 -2.226 0.000
U 2.516 0.000 3.828
Bi 2.516 4.359 3.828
Bi 2.516 -4.359 3.828
Se 1.284 2.135 2.224
Se 0.053 0.000 5.441
Se 1.284 -2.135 2.224
Se 3.748 2.135 5.432
Se 4.980 0.000 2.215
Se 3.748 -2.135 5.432
```

Its uncorrected formation energy is -0.9394 eV/atom. For the density of states at the Fermi level, the calculation gives 5.60 states/eV per cell. Its total DFT energy (no corrections) is -4.544 eV/atom.